First-principles (PBE) data for CdAgRh after structural relaxation, as listed in Alexandria via LeMat-Bulk.

```
data_CdAgRh
_symmetry_space_group_name_H-M 'F m m 2'
_symmetry_Int_Tables_number 42
_symmetry_space_group_name_Hall 'F 2 -2'
_cell_length_a 3.000
_cell_length_b 4.856
_cell_length_c 14.299
_cell_angle_alpha 90.00
_cell_angle_beta 90.00
_cell_angle_gamma 90.00
loop_
_atom_site_label
_atom_site_fract_x
_atom_site_fract_y
_atom_site_fract_z
_atom_site_occupancy
Cd1 0.000 0.000 0.000 1
Ag1 0.000 0.000 0.676 1
Rh1 0.000 0.000 0.340 1
```

Formation enthalpy at 0 K ... 0.14 eV per atom
Energy above the lowest structure with this stoichiometry ... 114 meV/atom
V ... 208.3 Å³/cell
Magnetic moment ... 0.00 Bohr magnetons per cell
VASP energy ... -3.5627 eV/atom



First-principles (PBE) data for Sr3IBr after structural relaxation, as listed in Alexandria via LeMat-Bulk.

```
data_Sr3IBr
_symmetry_space_group_name_H-M 'P m -3 m'
_symmetry_Int_Tables_number 221
_symmetry_space_group_name_Hall '-P 4 2 3'
_cell_length_a 6.166
_cell_length_b 6.166
_cell_length_c 6.166
_cell_angle_alpha 90.00
_cell_angle_beta 90.00
_cell_angle_gamma 90.00
loop_
_atom_site_label
_atom_site_fract_x
_atom_site_fract_y
_atom_site_fract_z
_atom_site_occupancy
Sr1 0.000 0.000 0.500 1
I1 0.500 0.500 0.500 1
Br1 0.000 0.000 0.000 1
```

Energy above the lowest structure with this stoichiometry ... 0 meV/atom
E_form (uncorrected) ... -0.50 eV/atom
V ... 234.4 Å³/cell
Magnetic moment ... 2.60 Bohr magnetons per cell
VASP energy ... -2.1496 eV/atom